# In3CoTc

In3CoTc at its PBEsol-relaxed geometry (SCAN, the Alexandria database).

```
In3CoTc
1.0
5.060 0.000 0.000
0.000 5.060 0.000
0.000 0.000 5.060
In Tc Co
3 1 1
Cartesian
0.000 2.530 0.000
0.000 0.000 2.530
2.530 0.000 0.000
0.000 0.000 0.000
2.530 2.530 2.530
```

Output
VASP energy (eV/atom): -29.61
E_form (kJ/mol of atoms): 86.6